Entry 1:
The following is a GGA+U calculation of a relaxed CoTePtO2 crystal, from Alexandria.

The space group is P4/mmm (No. 123) and the conventional cell measures 3.964, 3.964 and 5.285 Å, with angles of 90.00, 90.00 and 90.00 degrees. The asymmetric unit holds Co at (0.000, 0.000, 0.000), Te at (0.500, 0.500, 0.500), Pt at (0.500, 0.500, 0.000) and O at (0.000, 0.500, 0.500).

=====

Entry 2:
The following is a GGA+U calculation of a relaxed ThCoPtO6 crystal, from Alexandria.

The space group is P4_2nm (No. 102) and the conventional cell measures 4.886, 4.886 and 9.781 Å, with angles of 90.00, 90.00 and 90.00 degrees. The asymmetric unit holds Th at (0.000, 0.000, 0.000), Co at (0.000, 0.000, 0.338), Pt at (0.000, 0.000, 0.671), O at (0.174, 0.174, 0.507), O at (0.213, 0.213, 0.179) and O at (0.215, 0.215, 0.819).

=====

Entry 3:
The following is a GGA+U calculation of a relaxed Tl2CoPt2O6 crystal, from Alexandria.

The space group is C2/m (No. 12) and the conventional cell measures 5.497, 9.576 and 6.597 Å, with angles of 90.00, 105.28 and 90.00 degrees. The asymmetric unit holds Tl at (0.000, 0.165, 0.000), Co at (0.000, 0.000, 0.500), Pt at (0.000, 0.334, 0.500), O at (0.210, 0.500, 0.655) and O at (0.220, 0.172, 0.657).

=====

Entry 4:
The following is a GGA+U calculation of a relaxed Tl2CoPtO4 crystal, from Alexandria.

The space group is Fddd (No. 70, origin choice 2) and the conventional cell measures 5.821, 12.483 and 20.290 Å, with angles of 90.00, 90.00 and 90.00 degrees. The asymmetric unit holds Tl at (0.125, 0.125, 0.298), Co at (0.125, 0.125, 0.625), Pt at (0.125, 0.125, 0.125) and O at (0.106, 0.275, 0.873).

=====

Entry 5:
The following is a GGA+U calculation of a relaxed UCo2PtO8 crystal, from Alexandria.

The space group is I-4m2 (No. 119) and the conventional cell measures 6.653, 6.653 and 6.906 Å, with angles of 90.00, 90.00 and 90.00 degrees. The asymmetric unit holds U at (0.000, 0.000, 0.000), Co at (0.000, 0.000, 0.500), Co at (0.000, 0.500, 0.250), Pt at (0.000, 0.500, 0.750), O at (0.000, 0.201, 0.718) and O at (0.000, 0.301, 0.077).

=====

Entry 6:
The following is a GGA+U calculation of a relaxed ZnCoPtO4 crystal, from Alexandria.

The space group is Imma (No. 74) and the conventional cell measures 5.929, 6.208 and 8.812 Å, with angles of 90.00, 90.00 and 90.00 degrees. The asymmetric unit holds Zn at (0.000, 0.250, 0.149), Co at (0.250, 0.250, 0.750), Pt at (0.000, 0.000, 0.500), O at (0.000, 0.020, 0.732) and O at (0.228, 0.250, 0.501).

=====

Taking the records one at a time from the top gives DFT total energy values of -4.81 -6.88 -5.35 -5.06 -6.80 -5.55 eV/atom.